## Li2UTe3 (PBE)

Data for a relaxed structure of Li2UTe3.

Values from the calculation:
- DFT total energy (eV/atom) = -4.836
- ρ (Mg/m³) = 6.17

abc: 4.345 13.826 11.372
angles: 90.00 90.00 90.00
Space group Cmcm (No. 63)
Symmetry-distinct sites (fractional):
Li 0.000 0.012 0.250 [4 per cell]
Li 0.000 0.260 0.750 [4 per cell]
U 0.000 0.500 0.000 [4 per cell]
Te 0.000 0.141 0.073 [8 per cell]
Te 0.000 0.400 0.250 [4 per cell]